No. 1
Compound: MgMnW2
Source: Alexandria
Functional: PBE
Structure: optimized geometry

Structure (CIF):
```
data_MgMnW2
_space_group_name_H-M_alt 'C m m m'
_space_group_IT_number 65
_space_group_name_Hall '-C 2 2'
_cell_length_a 5.330
_cell_length_b 8.832
_cell_length_c 2.662
_cell_angle_alpha 90.00
_cell_angle_beta 90.00
_cell_angle_gamma 90.00
loop_
_atom_site_label
_atom_site_fract_x
_atom_site_fract_y
_atom_site_fract_z
_atom_site_occupancy
Mg1 0.000 0.000 0.000 1
Mn1 0.000 0.500 0.000 1
W1 0.250 0.250 0.500 1
```

Output
Its formation enthalpy at 0 K is 0.454 eV/atom. The total magnetization is 0.58 μB/atom.


No. 2
Compound: MgMnW2
Source: Alexandria
Functional: PBE
Structure: optimized geometry

Structure (CIF):
```
data_MgMnW2
_space_group_name_H-M_alt 'I -4 2 d'
_space_group_IT_number 122
_space_group_name_Hall 'I -4 2bw'
_cell_length_a 7.205
_cell_length_b 7.205
_cell_length_c 5.204
_cell_angle_alpha 90.00
_cell_angle_beta 90.00
_cell_angle_gamma 90.00
loop_
_atom_site_label
_atom_site_fract_x
_atom_site_fract_y
_atom_site_fract_z
_atom_site_occupancy
Mg1 0.000 0.000 0.000 1
Mn1 0.000 0.000 0.500 1
W1 0.188 0.750 0.625 1
```

Output
Its formation enthalpy at 0 K is 0.834 eV/atom. The total magnetization is 0.00 μB/atom.


No. 3
Compound: MgMn3W
Source: Alexandria
Functional: PBE
Structure: optimized geometry

Structure (CIF):
```
data_MgMn3W
_space_group_name_H-M_alt 'P m -3 m'
_space_group_IT_number 221
_space_group_name_Hall '-P 4 2 3'
_cell_length_a 4.380
_cell_length_b 4.380
_cell_length_c 4.380
_cell_angle_alpha 90.00
_cell_angle_beta 90.00
_cell_angle_gamma 90.00
loop_
_atom_site_label
_atom_site_fract_x
_atom_site_fract_y
_atom_site_fract_z
_atom_site_occupancy
Mg1 0.000 0.000 0.000 1
Mn1 0.000 0.000 0.500 1
W1 0.500 0.500 0.500 1
```

Output
Its formation enthalpy at 0 K is 1.831 eV/atom. The total magnetization is 1.33 μB/atom.


No. 4
Compound: MgMnW
Source: Alexandria
Functional: PBE
Structure: optimized geometry

Structure (CIF):
```
data_MgMnW
_space_group_name_H-M_alt 'I 4 m m'
_space_group_IT_number 107
_space_group_name_Hall 'I 4 -2'
_cell_length_a 2.729
_cell_length_b 2.729
_cell_length_c 13.143
_cell_angle_alpha 90.00
_cell_angle_beta 90.00
_cell_angle_gamma 90.00
loop_
_atom_site_label
_atom_site_fract_x
_atom_site_fract_y
_atom_site_fract_z
_atom_site_occupancy
Mg1 0.000 0.000 0.000 1
Mn1 0.000 0.000 0.329 1
W1 0.000 0.000 0.676 1
```

Output
Its formation enthalpy at 0 K is 0.411 eV/atom. The total magnetization is 1.14 μB/atom.